This record from Alexandria via LeMat-Bulk describes YAgAs at its PBEsol-relaxed geometry. The functional is meta-GGA SCAN.

Results
SG: I4mm, No. 107
size of the total moment: 0.000 μB/atom
total DFT energy (no corrections): -27.0327 eV per atom
volume: 63.64 Å³/cell
formation enthalpy at 0 K: -565.8 meV per atom

Cell lengths 3.8378, 3.8378, 5.1025 Å; angles 112.09, 112.09, 90.00 degrees
Fractional positions:
Y 0.3242 0.3242 0.6483
Ag 0.9955 0.9955 0.9909
As 0.6804 0.6804 0.3607



This record from Alexandria via LeMat-Bulk describes Zn2AgAs at its PBEsol-relaxed geometry. The functional is meta-GGA SCAN.

Results
SG: P4mm, No. 99
size of the total moment: 0.000 μB/atom
total DFT energy (no corrections): -19.5251 eV per atom
volume: 65.26 Å³/cell
formation enthalpy at 0 K: 122.0 meV per atom

Cell lengths 3.5258, 3.5258, 5.2494 Å; angles 90.00, 90.00, 90.00 degrees
Fractional positions:
Zn 0.0000 0.0000 0.9889
Zn 0.5000 0.5000 0.2603
As 0.5000 0.5000 0.7712
Ag 0.0000 0.0000 0.4795



This record from Alexandria via LeMat-Bulk describes ZnAg4As at its PBEsol-relaxed geometry. The functional is meta-GGA SCAN.

Results
SG: F-43m, No. 216
size of the total moment: 0.000 μB/atom
total DFT energy (no corrections): -26.2249 eV per atom
volume: 107.88 Å³/cell
formation enthalpy at 0 K: 304.1 meV per atom

Cell lengths 5.3434, 5.3434, 5.3434 Å; angles 60.00, 60.00, 60.00 degrees
Fractional positions:
Ag 0.6252 0.6252 0.6252
Ag 0.1244 0.6252 0.6252
Ag 0.6252 0.1244 0.6252
Ag 0.6252 0.6252 0.1244
As 0.2500 0.2500 0.2500
Zn 0.0000 0.0000 0.0000



This record from Alexandria via LeMat-Bulk describes ZnAg2As at its PBEsol-relaxed geometry. The functional is meta-GGA SCAN.

Results
SG: Pmm2, No. 25
size of the total moment: 0.000 μB/atom
total DFT energy (no corrections): -24.0154 eV per atom
volume: 65.91 Å³/cell
relative energy among the computed polymorphs: 0.0 meV/atom
formation enthalpy at 0 K: 94.6 meV per atom

Cell lengths 3.1000, 3.8079, 5.5834 Å; angles 90.00, 90.00, 90.00 degrees
Fractional positions:
Ag 0.0000 0.0000 0.9889
Ag 0.5000 0.5000 0.2521
As 0.0000 0.0000 0.5003
Zn 0.5000 0.5000 0.7587



This record from Alexandria via LeMat-Bulk describes ZnAg2As at its PBEsol-relaxed geometry. The functional is meta-GGA SCAN.

Results
SG: Cmmm, No. 65
size of the total moment: 0.000 μB/atom
total DFT energy (no corrections): -23.9785 eV per atom
volume: 66.04 Å³/cell
relative energy among the computed polymorphs: 36.9 meV/atom
formation enthalpy at 0 K: 131.5 meV per atom

Cell lengths 2.8521, 4.9774, 4.9774 Å; angles 110.83, 90.00, 90.00 degrees
Fractional positions:
Ag 0.0000 0.0000 0.5000
Ag 0.0000 0.5000 0.0000
As 0.5000 0.0000 0.0000
Zn 0.5000 0.5000 0.5000



This record from Alexandria via LeMat-Bulk describes ZrAg3As at its PBEsol-relaxed geometry. The functional is meta-GGA SCAN.

Results
SG: Pm-3m, No. 221
size of the total moment: 0.265 μB/atom
total DFT energy (no corrections): -27.4878 eV per atom
volume: 130.48 Å³/cell
relative energy among the computed polymorphs: 890.8 meV/atom
formation enthalpy at 0 K: 1510.3 meV per atom

Cell lengths 5.0720, 5.0720, 5.0720 Å; angles 90.00, 90.00, 90.00 degrees
Fractional positions:
Ag 0.0000 0.5000 0.0000
Ag 0.0000 0.0000 0.5000
Ag 0.5000 0.0000 0.0000
As 0.5000 0.5000 0.5000
Zr 0.0000 0.0000 0.0000



This record from Alexandria via LeMat-Bulk describes ZrAg2As at its PBEsol-relaxed geometry. The functional is meta-GGA SCAN.

Results
SG: Amm2, No. 38
size of the total moment: 0.000 μB/atom
total DFT energy (no corrections): -28.7709 eV per atom
volume: 74.08 Å³/cell
formation enthalpy at 0 K: -365.0 meV per atom

Cell lengths 3.5043, 3.6987, 5.9777 Å; angles 90.00, 107.04, 90.00 degrees
Fractional positions:
Ag 0.3346 0.5000 0.6692
Ag 0.9292 0.0000 0.8585
As 0.1672 0.0000 0.3343
Zr 0.5937 0.5000 0.1874



This record from Alexandria via LeMat-Bulk describes ZrAg2As at its PBEsol-relaxed geometry. The functional is meta-GGA SCAN.

Results
SG: P4mm, No. 99
size of the total moment: 0.000 μB/atom
total DFT energy (no corrections): -28.6727 eV per atom
volume: 74.92 Å³/cell
formation enthalpy at 0 K: -266.8 meV per atom

Cell lengths 3.5357, 3.5357, 5.9932 Å; angles 90.00, 90.00, 90.00 degrees
Fractional positions:
Ag 0.5000 0.5000 0.2143
Ag 0.0000 0.0000 0.0230
Zr 0.5000 0.5000 0.7169
As 0.0000 0.0000 0.5458